[1]
DFT (PBE-GGA) results for an optimized crystal structure of MgTlPbO4.

Results
size of the total moment	0.000	μB per formula unit
E_form (uncorrected)	-1223	meV/atom
E_tot	-5.15	eV/atom
crystal system	orthorhombic

abc: 6.6773 6.7218 9.4541
angles: 90.00 90.00 90.00
Closest atoms and distances in Å follow each position.
Space group Imma (No. 74)
Unique sites:
Mg1 0.0000 0.2500 0.1239 x4  4 O 2.07-2.09
Tl1 0.2500 0.2500 0.7500 x4  6 O 2.34
Pb1 0.0000 0.0000 0.5000 x4  6 O 2.36
O1 0.0000 0.0058 0.7496 x8  1 Mg 2.09, 2 Tl 2.34
O2 0.2475 0.2500 0.5028 x8  1 Mg 2.07

[2]
DFT (PBE-GGA) results for an optimized crystal structure of MgTl2PbO6.

Results
size of the total moment	0.000	μB per formula unit
E_form (uncorrected)	-1117	meV/atom
E_tot	-5.10	eV/atom
crystal system	trigonal

abc: 5.6666 5.6666 14.8232
angles: 90.00 90.00 120.00
Closest atoms and distances in Å follow each position.
Space group R3 (No. 146, hexagonal axes)
Unique sites:
Mg1 0.0000 0.0000 0.0000 x3  6 O 2.11-2.19
Tl1 0.0000 0.0000 0.2820 x3  6 O 2.23-2.44
Tl2 0.0000 0.0000 0.7787 x3  6 O 2.22-2.46
Pb1 0.0000 0.0000 0.5006 x3  6 O 2.18-2.27
O1 0.0492 0.3521 0.0661 x9  1 Mg 2.11, 1 Tl 2.22, 1 Pb 2.27
O2 0.0558 0.6901 0.5687 x9  1 Pb 2.18, 1 Mg 2.19, 1 Tl 2.23

[3]
DFT (PBE-GGA) results for an optimized crystal structure of MgTlPb2O6.

Results
size of the total moment	0.000	μB per formula unit
E_form (uncorrected)	-1171	meV/atom
E_tot	-5.28	eV/atom
crystal system	trigonal

abc: 5.7035 5.7035 15.1534
angles: 90.00 90.00 120.00
Closest atoms and distances in Å follow each position.
Space group R3 (No. 146, hexagonal axes)
Unique sites:
Mg1 0.0000 0.0000 0.0000 x3  6 O 2.13-2.22
Tl1 0.0000 0.0000 0.4896 x3  6 O 2.24-2.45
Pb1 0.0000 0.0000 0.2153 x3  6 O 2.26-2.41
Pb2 0.0000 0.0000 0.7051 x3  6 O 2.22-2.30
O1 0.0205 0.3763 0.2714 x9  1 Mg 2.13, 2 Pb 2.26-2.30
O2 0.0492 0.6728 0.7657 x9  2 Pb 2.22-2.41, 1 Mg 2.22, 1 Tl 2.24

[4]
DFT (PBE-GGA) results for an optimized crystal structure of Tm2MgPbO6.

Results
size of the total moment	0.000	μB per formula unit
E_form (uncorrected)	-2592	meV/atom
E_tot	-6.99	eV/atom
crystal system	trigonal

abc: 5.5991 5.5991 14.8244
angles: 90.00 90.00 120.00
Closest atoms and distances in Å follow each position.
Space group R3 (No. 146, hexagonal axes)
Unique sites:
Tm1 0.0000 0.0000 0.0000 x3  6 O 2.22-2.30
Tm2 0.0000 0.0000 0.4960 x3  6 O 2.20-2.33
Mg1 0.0000 0.0000 0.7127 x3  6 O 2.10-2.24
Pb1 0.0000 0.0000 0.2117 x3  6 O 2.17-2.30
O1 0.0420 0.6831 0.7724 x9  1 Mg 2.10, 2 Tm 2.20-2.30, 1 Pb 2.30
O2 0.0487 0.3712 0.2750 x9  1 Pb 2.17, 2 Tm 2.22-2.33, 1 Mg 2.24

[5]
DFT (PBE-GGA) results for an optimized crystal structure of TmMg2PbO6.

Results
size of the total moment	1.096	μB per formula unit
E_form (uncorrected)	-2127	meV/atom
E_tot	-6.24	eV/atom
crystal system	trigonal

abc: 5.4587 5.4587 14.5965
angles: 90.00 90.00 120.00
Closest atoms and distances in Å follow each position.
Space group R3 (No. 146, hexagonal axes)
Unique sites:
Tm1 0.0000 0.0000 0.0000 x3  6 O 2.19-2.30
Mg1 0.0000 0.0000 0.2871 x3  6 O 2.08-2.20
Mg2 0.0000 0.0000 0.7878 x3  6 O 2.06-2.20
Pb1 0.0000 0.0000 0.4972 x3  6 O 2.17-2.27
O1 0.0190 0.3081 0.8888 x9  2 Mg 2.08-2.20, 1 Pb 2.17, 1 Tm 2.30
O2 0.0232 0.6391 0.0553 x9  2 Mg 2.06-2.20, 1 Tm 2.19, 1 Pb 2.27